Record 1
A plane-wave DFT calculation with GGA-PBE was carried out for Tl2CuSeS after structural relaxation.

a = 6.840 Å, b = 3.937 Å, c = 10.204 Å
α = 90.00°, β = 103.23°, γ = 90.00°
Space group P2_1/m (No. 11)
Inequivalent atoms, fractional coordinates:
Tl (0.177, 0.250, 0.384) x2
Tl (0.251, 0.250, 0.956) x2
Cu (0.485, 0.250, 0.735) x2
Se (0.307, 0.750, 0.647) x2
S (0.194, 0.750, 0.159) x2

Results
Calculated volume, A^3/atom: 26.7
Uncorrected energy, eV/cell: -35.234
E_form (uncorrected), meV per atom: -235
Crystal system: monoclinic

Record 2
A plane-wave DFT calculation with GGA-PBE was carried out for Tm6CuSe3S2 after structural relaxation.

a = 6.852 Å, b = 11.849 Å, c = 6.917 Å
α = 90.00°, β = 109.27°, γ = 90.00°
Space group C2/m (No. 12)
Inequivalent atoms, fractional coordinates:
Tm (0.239, 0.163, 0.230) x8
Tm (0.249, 0.000, 0.768) x4
Cu (0.000, 0.000, 0.000) x2
Se (0.000, 0.172, 0.500) x4
Se (0.000, 0.500, 0.500) x2
S (0.000, 0.335, 0.000) x4

Results
Calculated volume, A^3/atom: 22.1
Uncorrected energy, eV/cell: -136.459
E_form (uncorrected), meV per atom: -1550
Crystal system: monoclinic

Record 3
A plane-wave DFT calculation with GGA-PBE was carried out for Tm8CuSe4S3 after structural relaxation.

a = 7.8713 Å, b = 7.8713 Å, c = 19.6137 Å
α = 90.00°, β = 90.00°, γ = 120.00°
Space group R-3m (No. 166, hexagonal axes)
Inequivalent atoms, fractional coordinates:
Tm (0.0000, 0.0000, 0.2421) x6
Tm (0.0062, 0.5031, 0.2429) x18
Cu (0.0000, 0.0000, 0.5000) x3
Se (0.0000, 0.0000, 0.0000) x3
Se (0.0000, 0.5000, 0.0000) x9
S (0.0000, 0.5000, 0.5000) x9

Results
Calculated volume, A^3/atom: 21.9
Uncorrected energy, eV/cell: -275.717
E_form (uncorrected), meV per atom: -1607
Crystal system: trigonal

Record 4
A plane-wave DFT calculation with GGA-PBE was carried out for Tm4CuSeS2 after structural relaxation.

a = 6.845 Å, b = 3.824 Å, c = 6.889 Å
α = 90.00°, β = 108.28°, γ = 90.00°
Space group P2/m (No. 10)
Inequivalent atoms, fractional coordinates:
Tm (0.238, 0.000, 0.240) x2
Tm (0.242, 0.500, 0.750) x2
Cu (0.000, 0.000, 0.500) x1
Se (0.500, 0.500, 0.500) x1
S (0.000, 0.500, 0.000) x1
S (0.500, 0.000, 0.000) x1

Results
Calculated volume, A^3/atom: 21.4
Uncorrected energy, eV/cell: -45.140
E_form (uncorrected), meV per atom: -1427
Crystal system: monoclinic

- What is the uncorrected energy in the second record?
  -136.459 eV/cell